w | A plane-wave DFT calculation with SCAN was carried out for a PBEsol-optimized structure of CoRuS2Cl.

## Properties
Crystal system = tetragonal
Total magnetic moment = 4.4 μB/f.u.
Theoretical density = 5.3 g/cm3

a b c (Å): 4.325 4.325 4.363
angles (deg): 90.00 90.00 90.00
Space group P4/mmm (No. 123)
Symmetry-distinct sites (fractional):
Co  0.000  0.000  0.000 (multiplicity 1)
Ru  0.500  0.500  0.500 (multiplicity 1)
S  0.000  0.500  0.000 (multiplicity 2)
Cl  0.000  0.000  0.500 (multiplicity 1)


x | A plane-wave DFT calculation with SCAN was carried out for a PBEsol-optimized structure of CoRuS2Cl.

## Properties
Crystal system = tetragonal
Total magnetic moment = 2.8 μB/f.u.
Theoretical density = 4.5 g/cm3

a b c (Å): 4.465 4.465 4.820
angles (deg): 90.00 90.00 90.00
Space group P4/mmm (No. 123)
Symmetry-distinct sites (fractional):
Co  0.000  0.000  0.000 (multiplicity 1)
Ru  0.500  0.500  0.500 (multiplicity 1)
S  0.000  0.500  0.500 (multiplicity 2)
Cl  0.500  0.500  0.000 (multiplicity 1)


Question: which arrangement is favored energetically? Ranking from most to least stable: x, w.


w | A plane-wave DFT calculation with SCAN was carried out for a PBEsol-optimized structure of CoSb2Cl.

## Properties
Crystal system = tetragonal
Total magnetic moment = 0.0 μB/f.u.
Theoretical density = 6.2 g/cm3

a b c (Å): 3.204 3.204 8.828
angles (deg): 90.00 90.00 90.00
Space group P4mm (No. 99)
Symmetry-distinct sites (fractional):
Co  0.000  0.000  0.000 (multiplicity 1)
Sb  0.000  0.000  0.282 (multiplicity 1)
Sb  0.500  0.500  0.889 (multiplicity 1)
Cl  0.500  0.500  0.620 (multiplicity 1)


x | A plane-wave DFT calculation with SCAN was carried out for a PBEsol-optimized structure of CoSb2Cl.

## Properties
Crystal system = cubic
Total magnetic moment = 2.2 μB/f.u.
Theoretical density = 6.9 g/cm3

a b c (Å): 6.874 6.874 6.874
angles (deg): 90.00 90.00 90.00
Space group F-43m (No. 216)
Symmetry-distinct sites (fractional):
Co  0.000  0.000  0.000 (multiplicity 4)
Sb  0.000  0.000  0.500 (multiplicity 4)
Sb  0.250  0.250  0.250 (multiplicity 4)
Cl  0.250  0.250  0.750 (multiplicity 4)


y | A plane-wave DFT calculation with SCAN was carried out for a PBEsol-optimized structure of CoSb2Cl.

## Properties
Crystal system = tetragonal
Total magnetic moment = 1.7 μB/f.u.
Theoretical density = 6.8 g/cm3

a b c (Å): 3.075 3.075 8.724
angles (deg): 90.00 90.00 90.00
Space group P4mm (No. 99)
Symmetry-distinct sites (fractional):
Co  0.000  0.000  0.000 (multiplicity 1)
Sb  0.000  0.000  0.497 (multiplicity 1)
Sb  0.500  0.500  0.178 (multiplicity 1)
Cl  0.500  0.500  0.832 (multiplicity 1)


Question: which arrangement is favored energetically? Ranking from most to least stable: w, y, x.


w | A plane-wave DFT calculation with SCAN was carried out for a PBEsol-optimized structure of Co2SbCl.

## Properties
Crystal system = orthorhombic
Total magnetic moment = 3.3 μB/f.u.
Theoretical density = 7.3 g/cm3

a b c (Å): 3.018 3.314 6.288
angles (deg): 90.00 90.00 90.00
Space group Pmmm (No. 47)
Symmetry-distinct sites (fractional):
Co  0.000  0.000  0.202 (multiplicity 2)
Sb  0.500  0.500  0.000 (multiplicity 1)
Cl  0.500  0.000  0.500 (multiplicity 1)


x | A plane-wave DFT calculation with SCAN was carried out for a PBEsol-optimized structure of Co2SbCl.

## Properties
Crystal system = tetragonal
Total magnetic moment = 3.7 μB/f.u.
Theoretical density = 6.5 g/cm3

a b c (Å): 3.162 3.162 6.997
angles (deg): 90.00 90.00 90.00
Space group P4mm (No. 99)
Symmetry-distinct sites (fractional):
Co  0.000  0.000  0.000 (multiplicity 1)
Co  0.500  0.500  0.143 (multiplicity 1)
Sb  0.000  0.000  0.365 (multiplicity 1)
Cl  0.500  0.500  0.811 (multiplicity 1)


Question: which arrangement is favored energetically? Ranking from most to least stable: x, w.


w | A plane-wave DFT calculation with SCAN was carried out for a PBEsol-optimized structure of ScCoCl2.

## Properties
Crystal system = trigonal
Total magnetic moment = 1.5 μB/f.u.
Theoretical density = 4.2 g/cm3

a b c (Å): 3.2158 3.2158 23.3396
angles (deg): 90.00 90.00 120.00
Space group R-3m (No. 166, hexagonal axes)
Symmetry-distinct sites (fractional):
Sc  0.0000  0.0000  0.0000 (multiplicity 3)
Co  0.0000  0.0000  0.5000 (multiplicity 3)
Cl  0.0000  0.0000  0.4077 (multiplicity 6)


x | A plane-wave DFT calculation with SCAN was carried out for a PBEsol-optimized structure of ScCoCl2.

## Properties
Crystal system = cubic
Total magnetic moment = 2.0 μB/f.u.
Theoretical density = 4.5 g/cm3

a b c (Å): 6.347 6.347 6.347
angles (deg): 90.00 90.00 90.00
Space group F-43m (No. 216)
Symmetry-distinct sites (fractional):
Sc  0.000  0.000  0.000 (multiplicity 4)
Co  0.250  0.250  0.250 (multiplicity 4)
Cl  0.000  0.000  0.500 (multiplicity 4)
Cl  0.250  0.250  0.750 (multiplicity 4)


Question: which arrangement is favored energetically? Ranking from most to least stable: w, x.


w | A plane-wave DFT calculation with SCAN was carried out for a PBEsol-optimized structure of TaCoCl2.

## Properties
Crystal system = cubic
Total magnetic moment = 1.5 μB/f.u.
Theoretical density = 9.6 g/cm3

a b c (Å): 5.997 5.997 5.997
angles (deg): 90.00 90.00 90.00
Space group Fm-3m (No. 225)
Symmetry-distinct sites (fractional):
Ta  0.000  0.000  0.000 (multiplicity 4)
Co  0.000  0.000  0.500 (multiplicity 4)
Cl  0.250  0.250  0.250 (multiplicity 8)


x | A plane-wave DFT calculation with SCAN was carried out for a PBEsol-optimized structure of TaCoCl2.

## Properties
Crystal system = tetragonal
Total magnetic moment = 0.5 μB/f.u.
Theoretical density = 9.3 g/cm3

a b c (Å): 4.267 4.267 3.043
angles (deg): 90.00 90.00 90.00
Space group P4/mmm (No. 123)
Symmetry-distinct sites (fractional):
Ta  0.000  0.000  0.000 (multiplicity 1)
Co  0.500  0.500  0.000 (multiplicity 1)
Cl  0.000  0.500  0.500 (multiplicity 2)


Question: which arrangement is favored energetically? Ranking from most to least stable: w, x.


w | A plane-wave DFT calculation with SCAN was carried out for a PBEsol-optimized structure of CoTcCl.

## Properties
Crystal system = tetragonal
Total magnetic moment = 1.3 μB/f.u.
Theoretical density = 7.7 g/cm3

a b c (Å): 2.786 2.786 10.651
angles (deg): 90.00 90.00 90.00
Space group I4mm (No. 107)
Symmetry-distinct sites (fractional):
Co  0.000  0.000  0.000 (multiplicity 2)
Tc  0.000  0.000  0.636 (multiplicity 2)
Cl  0.000  0.000  0.299 (multiplicity 2)


x | A plane-wave DFT calculation with SCAN was carried out for a PBEsol-optimized structure of CoTcCl.

## Properties
Crystal system = cubic
Total magnetic moment = 0.0 μB/f.u.
Theoretical density = 7.3 g/cm3

a b c (Å): 5.591 5.591 5.591
angles (deg): 90.00 90.00 90.00
Space group F-43m (No. 216)
Symmetry-distinct sites (fractional):
Co  0.000  0.000  0.000 (multiplicity 4)
Tc  0.250  0.250  0.250 (multiplicity 4)
Cl  0.000  0.000  0.500 (multiplicity 4)


Question: which arrangement is favored energetically? Ranking from most to least stable: w, x.


w | A plane-wave DFT calculation with SCAN was carried out for a PBEsol-optimized structure of CoTc2Cl.

## Properties
Crystal system = orthorhombic
Total magnetic moment = 1.6 μB/f.u.
Theoretical density = 9.6 g/cm3

a b c (Å): 2.793 4.232 8.530
angles (deg): 90.00 90.00 90.00
Space group Imm2 (No. 44)
Symmetry-distinct sites (fractional):
Co  0.000  0.000  0.000 (multiplicity 2)
Tc  0.000  0.000  0.544 (multiplicity 2)
Tc  0.000  0.500  0.775 (multiplicity 2)
Cl  0.000  0.500  0.275 (multiplicity 2)


x | A plane-wave DFT calculation with SCAN was carried out for a PBEsol-optimized structure of CoTc2Cl.

## Properties
Crystal system = monoclinic
Total magnetic moment = 1.3 μB/f.u.
Theoretical density = 7.0 g/cm3

a b c (Å): 8.158 2.737 7.189
angles (deg): 90.00 121.29 90.00
Space group C2/m (No. 12)
Symmetry-distinct sites (fractional):
Co  0.000  0.000  0.000 (multiplicity 2)
Tc  0.214  0.000  0.839 (multiplicity 4)
Cl  0.000  0.500  0.500 (multiplicity 2)


Question: which arrangement is favored energetically? Ranking from most to least stable: x, w.


w | A plane-wave DFT calculation with SCAN was carried out for a PBEsol-optimized structure of CoTe2Cl.

## Properties
Crystal system = cubic
Total magnetic moment = 0.0 μB/f.u.
Theoretical density = 7.7 g/cm3

a b c (Å): 6.711 6.711 6.711
angles (deg): 90.00 90.00 90.00
Space group Fm-3m (No. 225)
Symmetry-distinct sites (fractional):
Co  0.000  0.000  0.000 (multiplicity 4)
Te  0.250  0.250  0.250 (multiplicity 8)
Cl  0.000  0.000  0.500 (multiplicity 4)


x | A plane-wave DFT calculation with SCAN was carried out for a PBEsol-optimized structure of CoTe2Cl.

## Properties
Crystal system = monoclinic
Total magnetic moment = 0.0 μB/f.u.
Theoretical density = 6.7 g/cm3

a b c (Å): 6.449 3.728 7.456
angles (deg): 90.00 106.03 90.00
Space group C2/m (No. 12)
Symmetry-distinct sites (fractional):
Co  0.000  0.000  0.000 (multiplicity 2)
Te  0.223  0.500  0.179 (multiplicity 4)
Cl  0.000  0.500  0.500 (multiplicity 2)


y | A plane-wave DFT calculation with SCAN was carried out for a PBEsol-optimized structure of CoTe2Cl.

## Properties
Crystal system = trigonal
Total magnetic moment = 0.0 μB/f.u.
Theoretical density = 6.5 g/cm3

a b c (Å): 3.4644 3.4644 25.7237
angles (deg): 90.00 90.00 120.00
Space group R3m (No. 160, hexagonal axes)
Symmetry-distinct sites (fractional):
Co  0.0000  0.0000  0.0000 (multiplicity 3)
Te  0.0000  0.0000  0.4933 (multiplicity 3)
Te  0.0000  0.0000  0.7204 (multiplicity 3)
Cl  0.0000  0.0000  0.2828 (multiplicity 3)


Question: which arrangement is favored energetically? Ranking from most to least stable: x, y, w.


w | A plane-wave DFT calculation with SCAN was carried out for a PBEsol-optimized structure of Tl3CoCl.

## Properties
Crystal system = cubic
Total magnetic moment = 2.0 μB/f.u.
Theoretical density = 6.7 g/cm3

a b c (Å): 5.608 5.608 5.608
angles (deg): 90.00 90.00 90.00
Space group Pm-3m (No. 221)
Symmetry-distinct sites (fractional):
Tl  0.000  0.000  0.500 (multiplicity 3)
Co  0.500  0.500  0.500 (multiplicity 1)
Cl  0.000  0.000  0.000 (multiplicity 1)


x | A plane-wave DFT calculation with SCAN was carried out for a PBEsol-optimized structure of Tl3CoCl.

## Properties
Crystal system = cubic
Total magnetic moment = 0.0 μB/f.u.
Theoretical density = 9.5 g/cm3

a b c (Å): 4.989 4.989 4.989
angles (deg): 90.00 90.00 90.00
Space group Pm-3m (No. 221)
Symmetry-distinct sites (fractional):
Tl  0.000  0.000  0.500 (multiplicity 3)
Co  0.000  0.000  0.000 (multiplicity 1)
Cl  0.500  0.500  0.500 (multiplicity 1)


Question: which arrangement is favored energetically? Ranking from most to least stable: x, w.


w | A plane-wave DFT calculation with SCAN was carried out for a PBEsol-optimized structure of Tl2CoCl.

## Properties
Crystal system = tetragonal
Total magnetic moment = 1.7 μB/f.u.
Theoretical density = 10.2 g/cm3

a b c (Å): 5.158 5.158 3.075
angles (deg): 90.00 90.00 90.00
Space group P4/mmm (No. 123)
Symmetry-distinct sites (fractional):
Tl  0.000  0.500  0.000 (multiplicity 2)
Co  0.000  0.000  0.500 (multiplicity 1)
Cl  0.500  0.500  0.500 (multiplicity 1)


x | A plane-wave DFT calculation with SCAN was carried out for a PBEsol-optimized structure of Tl2CoCl.

## Properties
Crystal system = orthorhombic
Total magnetic moment = 1.9 μB/f.u.
Theoretical density = 9.8 g/cm3

a b c (Å): 3.105 5.337 10.244
angles (deg): 90.00 90.00 90.00
Space group Imm2 (No. 44)
Symmetry-distinct sites (fractional):
Tl  0.000  0.000  0.000 (multiplicity 2)
Tl  0.000  0.500  0.205 (multiplicity 2)
Co  0.000  0.000  0.482 (multiplicity 2)
Cl  0.000  0.500  0.821 (multiplicity 2)


y | A plane-wave DFT calculation with SCAN was carried out for a PBEsol-optimized structure of Tl2CoCl.

## Properties
Crystal system = trigonal
Total magnetic moment = 1.1 μB/f.u.
Theoretical density = 10.1 g/cm3

a b c (Å): 3.5011 3.5011 23.3599
angles (deg): 90.00 90.00 120.00
Space group R-3m (No. 166, hexagonal axes)
Symmetry-distinct sites (fractional):
Tl  0.0000  0.0000  0.2375 (multiplicity 6)
Co  0.0000  0.0000  0.5000 (multiplicity 3)
Cl  0.0000  0.0000  0.0000 (multiplicity 3)


Question: which arrangement is favored energetically? Ranking from most to least stable: x, w, y.


w | A plane-wave DFT calculation with SCAN was carried out for a PBEsol-optimized structure of YCoCl2.

## Properties
Crystal system = orthorhombic
Total magnetic moment = 1.6 μB/f.u.
Theoretical density = 5.5 g/cm3

a b c (Å): 3.599 4.265 4.278
angles (deg): 90.00 90.00 90.00
Space group Pmmm (No. 47)
Symmetry-distinct sites (fractional):
Y  0.000  0.000  0.000 (multiplicity 1)
Co  0.000  0.500  0.500 (multiplicity 1)
Cl  0.500  0.000  0.500 (multiplicity 1)
Cl  0.500  0.500  0.000 (multiplicity 1)


x | A plane-wave DFT calculation with SCAN was carried out for a PBEsol-optimized structure of YCoCl2.

## Properties
Crystal system = trigonal
Total magnetic moment = 2.0 μB/f.u.
Theoretical density = 4.2 g/cm3

a b c (Å): 3.6249 3.6249 22.8068
angles (deg): 90.00 90.00 120.00
Space group R-3m (No. 166, hexagonal axes)
Symmetry-distinct sites (fractional):
Y  0.0000  0.0000  0.0000 (multiplicity 3)
Co  0.0000  0.0000  0.5000 (multiplicity 3)
Cl  0.0000  0.0000  0.1146 (multiplicity 6)


Question: which arrangement is favored energetically? Ranking from most to least stable: x, w.


w | A plane-wave DFT calculation with SCAN was carried out for a PBEsol-optimized structure of ZrCoCl2.

## Properties
Crystal system = trigonal
Total magnetic moment = 2.2 μB/f.u.
Theoretical density = 4.7 g/cm3

a b c (Å): 3.1076 3.1076 28.0432
angles (deg): 90.00 90.00 120.00
Space group R-3m (No. 166, hexagonal axes)
Symmetry-distinct sites (fractional):
Zr  0.0000  0.0000  0.0000 (multiplicity 3)
Co  0.0000  0.0000  0.5000 (multiplicity 3)
Cl  0.0000  0.0000  0.2676 (multiplicity 6)


x | A plane-wave DFT calculation with SCAN was carried out for a PBEsol-optimized structure of ZrCoCl2.

## Properties
Crystal system = trigonal
Total magnetic moment = 1.5 μB/f.u.
Theoretical density = 5.3 g/cm3

a b c (Å): 3.1641 3.1641 23.8522
angles (deg): 90.00 90.00 120.00
Space group R-3m (No. 166, hexagonal axes)
Symmetry-distinct sites (fractional):
Zr  0.0000  0.0000  0.0000 (multiplicity 3)
Co  0.0000  0.0000  0.5000 (multiplicity 3)
Cl  0.0000  0.0000  0.4105 (multiplicity 6)


y | A plane-wave DFT calculation with SCAN was carried out for a PBEsol-optimized structure of ZrCoCl2.

## Properties
Crystal system = tetragonal
Total magnetic moment = 1.5 μB/f.u.
Theoretical density = 5.9 g/cm3

a b c (Å): 3.569 3.569 9.713
angles (deg): 90.00 90.00 90.00
Space group I-4m2 (No. 119)
Symmetry-distinct sites (fractional):
Zr  0.000  0.000  0.000 (multiplicity 2)
Co  0.000  0.500  0.750 (multiplicity 2)
Cl  0.000  0.000  0.500 (multiplicity 2)
Cl  0.000  0.500  0.250 (multiplicity 2)


z | A plane-wave DFT calculation with SCAN was carried out for a PBEsol-optimized structure of ZrCoCl2.

## Properties
Crystal system = orthorhombic
Total magnetic moment = 0.0 μB/f.u.
Theoretical density = 5.1 g/cm3

a b c (Å): 3.261 3.721 11.928
angles (deg): 90.00 90.00 90.00
Space group Imm2 (No. 44)
Symmetry-distinct sites (fractional):
Zr  0.000  0.000  0.000 (multiplicity 2)
Co  0.000  0.500  0.357 (multiplicity 2)
Cl  0.000  0.000  0.606 (multiplicity 2)
Cl  0.000  0.500  0.847 (multiplicity 2)


Question: which arrangement is favored energetically? Ranking from most to least stable: w, x, z, y.